A relaxed ZnCu6Ge crystal. Source: the Alexandria database, functional PBE.

Geometry as extended XYZ:
```
8
Lattice="4.3081 0.6517 0.0016 0.9735 4.2470 0.0016 1.5088 1.3994 6.4093" Properties=species:S:1:pos:R:3 pbc="T T T"
Zn 3.3952 3.1490 3.2062
Cu 1.2713 2.8210 1.9509
Cu 2.9085 1.0557 1.9509
Cu 3.8819 5.2424 4.4616
Cu 5.5192 3.4771 4.4616
Cu 3.3141 3.0738 5.9411
Cu 3.4764 3.2243 0.4714
Ge 0.0000 0.0000 0.0000
```

Summary:
The calculation puts the energy relative to the elements at 106 meV/atom. Its total energy is -3.702 eV/atom. As for the calculated volume: 14.148 Å³/atom.